Entry 1:
Rb2SiCS: single point on PBEsol structure, meta-GGA SCAN.

space-group type	P4/mmm
total magnetic moment	0.5	μB per cell
formation energy without anion corrections	0.128	eV per atom
density	3.13	g cm⁻³
crystal system	tetragonal

Cell: 3.418 6.144 6.144 Å, 90.00 90.00 90.00°
Site moments in Bohr magnetons follow the coordinates.
Fractional coordinates of all 5 atoms:
Rb: 0.000 0.500 0.000  0.00
Rb: 0.000 0.000 0.500  0.00
Si: 0.500 0.000 0.000  0.15
C: 0.000 0.000 0.000  0.00
S: 0.500 0.500 0.500  0.02


Entry 2:
Lu3Al: single point on PBEsol structure, meta-GGA SCAN.

space-group type	Pm-3m
total magnetic moment	0.0	μB per cell
ΔH_f (0 K)	-0.22	eV/atom
density	9.51	g cm⁻³
crystal system	cubic

Cell: 4.585 4.585 4.585 Å, 90.00 90.00 90.00°
Fractional coordinates of all 4 atoms:
Lu: 0.500 0.500 0.000
Lu: 0.500 0.000 0.500
Lu: 0.000 0.500 0.500
Al: 0.000 0.000 0.000


Entry 3:
TaMoW2: single point on PBEsol structure, meta-GGA SCAN.

energy relative to the lowest polymorph listed for this composition	31	meV/atom
space-group type	P2/m
total magnetic moment	0.0	μB per cell
ΔH_f (0 K)	-0.09	eV/atom
density	16.77	g cm⁻³
crystal system	monoclinic

Cell: 2.760 4.483 5.242 Å, 90.00 100.28 90.00°
Fractional coordinates of all 4 atoms:
W: 0.256 0.000 0.249
W: 0.744 0.000 0.751
Mo: 0.500 0.500 0.000
Ta: 0.000 0.500 0.500


Entry 4:
Re3MoO: single point on PBEsol structure, meta-GGA SCAN.

space-group type	Pm-3m
total magnetic moment	0.0	μB per cell
formation energy without anion corrections	0.335	eV per atom
density	16.83	g cm⁻³
crystal system	cubic

Cell: 4.045 4.045 4.045 Å, 90.00 90.00 90.00°
Fractional coordinates of all 5 atoms:
Re: 0.000 0.500 0.000
Re: 0.500 0.000 0.000
Re: 0.000 0.000 0.500
O: 0.000 0.000 0.000
Mo: 0.500 0.500 0.500


Entry 5:
AlAuSe: single point on PBEsol structure, meta-GGA SCAN.

energy relative to the lowest polymorph listed for this composition	53	meV/atom
space-group type	F-43m
total magnetic moment	0.0	μB per cell
formation energy without anion corrections	-0.076	eV per atom
density	8.13	g cm⁻³
crystal system	cubic

Cell: 4.440 4.440 4.440 Å, 60.00 60.00 60.00°
Fractional coordinates of all 3 atoms:
Se: 0.000 0.000 0.000
Al: 0.500 0.500 0.500
Au: 0.250 0.250 0.250


Entry 6:
Sc2HPt: single point on PBEsol structure, meta-GGA SCAN.

energy relative to the lowest polymorph listed for this composition	165	meV/atom
space-group type	Fm-3m
total magnetic moment	0.0	μB per cell
density	7.53	g cm⁻³
crystal system	cubic

Cell: 4.468 4.468 4.468 Å, 60.00 60.00 60.00°
Fractional coordinates of all 4 atoms:
H: 0.000 0.000 0.000
Sc: 0.750 0.750 0.750
Sc: 0.250 0.250 0.250
Pt: 0.500 0.500 0.500


Entry 7:
TcAs2Ir: single point on PBEsol structure, meta-GGA SCAN.

energy relative to the lowest polymorph listed for this composition	0	meV/atom
space-group type	Cm
total magnetic moment	0.0	μB per cell
ΔH_f (0 K)	-0.09	eV/atom
density	11.74	g cm⁻³
crystal system	monoclinic

Cell: 3.245 4.450 4.776 Å, 103.28 90.00 111.38°
Fractional coordinates of all 4 atoms:
As: 0.248 0.495 0.715
As: 0.014 0.029 0.130
Tc: 0.728 0.457 0.122
Ir: 0.510 0.019 0.533


Entry 8:
Sc2InRu: single point on PBEsol structure, meta-GGA SCAN.

space-group type	P4/mmm
total magnetic moment	0.0	μB per cell
ΔH_f (0 K)	-0.58	eV/atom
density	6.90	g cm⁻³
crystal system	tetragonal

Cell: 3.437 4.627 4.627 Å, 90.00 90.00 90.00°
Fractional coordinates of all 4 atoms:
Ru: 0.375 0.500 0.875
In: 0.375 0.000 0.375
Sc: 0.875 0.000 0.875
Sc: 0.875 0.500 0.375


Entry 9:
YNi2: single point on PBEsol structure, meta-GGA SCAN.

space-group type	I4_1/amd
total magnetic moment	0.0	μB per cell
ΔH_f (0 K)	-0.37	eV/atom
density	6.88	g cm⁻³
crystal system	tetragonal

Cell: 3.809 3.809 7.371 Å, 104.97 104.97 90.00°
Fractional coordinates of all 6 atoms:
Y: 0.000 0.000 0.000
Y: 0.250 0.750 0.500
Ni: 0.832 0.332 0.663
Ni: 0.668 0.168 0.337
Ni: 0.418 0.418 0.837
Ni: 0.582 0.582 0.163


Entry 10:
Li3TiCu4O8: single point on PBEsol structure, meta-GGA SCAN.

space-group type	C2/m
total magnetic moment	1.0	μB per cell
formation energy without anion corrections	-1.655	eV per atom
density	5.05	g cm⁻³
crystal system	monoclinic

Cell: 5.551 5.664 6.069 Å, 117.81 115.00 90.00°
Site moments in Bohr magnetons follow the coordinates.
Fractional coordinates of all 16 atoms:
Cu: 0.500 0.500 0.000  0.38
Cu: 0.000 0.000 0.000  -0.65
Cu: 0.500 0.500 0.500  0.51
Cu: 0.500 0.000 0.500  0.51
O: 0.757 0.286 0.572  0.10
O: 0.243 0.714 0.428  0.10
O: 0.228 0.238 0.943  0.00
O: 0.772 0.295 0.057  0.00
O: 0.228 0.705 0.943  0.00
O: 0.240 0.204 0.408  0.02
O: 0.772 0.762 0.057  0.00
O: 0.760 0.796 0.592  0.02
Li: 0.500 0.000 0.000  0.00
Li: 0.000 0.500 0.500  0.00
Li: 0.000 0.000 0.500  0.00
Ti: 0.000 0.500 0.000  0.01